(1)
## Na4Dy3TlO8 (GGA-PBE)

Data for a relaxed Na4Dy3TlO8 crystal.

Properties
E (eV/atom): -6.173
Size of the total moment (μB/f.u.): 0.000
Raw formation energy (eV/atom): -2.35

Unit cell a=6.829 b=6.865 c=6.830 alpha=119.81 beta=120.00 gamma=90.00
Sites, in units of the cell vectors:
O 0.243 0.720 0.976
Na 0.500 0.000 0.000
O 0.757 0.280 0.024
O 0.736 0.707 0.471
O 0.243 0.720 0.487
Na 0.500 0.000 0.500
Na 0.000 0.000 0.000
Dy 0.500 0.500 0.500
Na 0.000 0.000 0.500
Tl 0.000 0.500 0.000
O 0.757 0.280 0.513
O 0.267 0.280 0.024
Dy 0.000 0.500 0.500
Dy 0.500 0.500 0.000
O 0.264 0.293 0.529
O 0.733 0.720 0.976


(2)
## Na3Dy2TmO6 (GGA-PBE)

Data for a relaxed Na3Dy2TmO6 crystal.

Properties
E (eV/atom): -6.771
Size of the total moment (μB/f.u.): 0.000
Raw formation energy (eV/atom): -2.82

Unit cell a=5.902 b=5.902 c=5.914 alpha=99.57 beta=99.57 gamma=120.00
Sites, in units of the cell vectors:
Tm 0.000 0.000 0.000
Dy 0.667 0.333 0.000
O 0.399 0.070 0.210
O 0.070 0.399 0.210
O 0.259 0.259 0.790
Na 0.165 0.835 0.500
O 0.601 0.930 0.790
Na 0.835 0.165 0.500
Na 0.500 0.500 0.500
Dy 0.333 0.667 0.000
O 0.741 0.741 0.210
O 0.930 0.601 0.790


(3)
## Na2Dy2UO6 (GGA-PBE)

Data for a relaxed Na2Dy2UO6 crystal.

Properties
E (eV/atom): -7.648
Size of the total moment (μB/f.u.): 2.000
Raw formation energy (eV/atom): -2.84

Unit cell a=6.028 b=6.028 c=5.944 alpha=99.24 beta=99.24 gamma=120.41
Each line ends with the local moment (μB).
Sites, in units of the cell vectors:
Dy 0.334 0.666 0.500  0.03
O 0.607 0.950 0.301  -0.01
O 0.750 0.750 0.695  -0.03
Dy 0.666 0.334 0.500  0.03
Na 0.173 0.827 0.000  0.00
O 0.250 0.250 0.305  -0.03
U 0.000 0.000 0.500  1.93
O 0.393 0.050 0.699  -0.01
O 0.950 0.607 0.301  -0.01
O 0.050 0.393 0.699  -0.01
Na 0.827 0.173 0.000  0.00


(4)
## NaDy2UO6 (GGA-PBE)

Data for a relaxed NaDy2UO6 crystal.

Properties
E (eV/atom): -8.334
Size of the total moment (μB/f.u.): 1.000
Raw formation energy (eV/atom): -3.18

Unit cell a=5.860 b=5.859 c=6.130 alpha=61.45 beta=61.45 gamma=60.00
Each line ends with the local moment (μB).
Sites, in units of the cell vectors:
O 0.602 0.236 0.232  -0.02
O 0.236 0.931 0.232  -0.02
Na 0.798 0.798 0.605  0.00
O 0.382 0.699 0.766  -0.02
O 0.931 0.602 0.232  -0.02
U 0.317 0.317 0.048  1.06
O 0.699 0.153 0.766  -0.02
Dy 0.527 0.527 0.419  0.01
Dy 0.018 0.018 0.948  0.00
O 0.153 0.382 0.766  -0.02


(5)
## Na2DyUO6 (GGA-PBE)

Data for a relaxed Na2DyUO6 crystal.

Properties
E (eV/atom): -7.461
Size of the total moment (μB/f.u.): 0.946
Raw formation energy (eV/atom): -2.63

Unit cell a=5.805 b=5.947 c=8.313 alpha=90.00 beta=89.93 gamma=90.00
Each line ends with the local moment (μB).
Sites, in units of the cell vectors:
Dy 0.500 0.000 0.000  0.02
Na 0.007 0.963 0.251  0.00
O 0.290 0.689 0.049  0.12
Na 0.493 0.463 0.249  0.00
O 0.710 0.311 0.951  0.12
O 0.599 0.040 0.262  0.13
U 0.000 0.500 0.000  0.04
Dy 0.000 0.500 0.500  0.02
O 0.185 0.212 0.054  0.13
U 0.500 0.000 0.500  0.04
Na 0.507 0.537 0.751  0.00
O 0.099 0.460 0.762  0.13
O 0.790 0.811 0.549  0.12
O 0.210 0.189 0.451  0.12
O 0.401 0.960 0.738  0.13
O 0.315 0.712 0.446  0.13
O 0.685 0.288 0.554  0.13
O 0.815 0.788 0.946  0.13
O 0.901 0.540 0.238  0.13
Na 0.993 0.037 0.749  0.00


Repeat the first record exactly.
## Na4Dy3TlO8 (GGA-PBE)

Data for a relaxed Na4Dy3TlO8 crystal.

Properties
E (eV/atom): -6.173
Size of the total moment (μB/f.u.): 0.000
Raw formation energy (eV/atom): -2.35

Unit cell a=6.829 b=6.865 c=6.830 alpha=119.81 beta=120.00 gamma=90.00
Sites, in units of the cell vectors:
O 0.243 0.720 0.976
Na 0.500 0.000 0.000
O 0.757 0.280 0.024
O 0.736 0.707 0.471
O 0.243 0.720 0.487
Na 0.500 0.000 0.500
Na 0.000 0.000 0.000
Dy 0.500 0.500 0.500
Na 0.000 0.000 0.500
Tl 0.000 0.500 0.000
O 0.757 0.280 0.513
O 0.267 0.280 0.024
Dy 0.000 0.500 0.500
Dy 0.500 0.500 0.000
O 0.264 0.293 0.529
O 0.733 0.720 0.976


raw formation energy of number 3 (Na2Dy2UO6)? -2.84 eV/atom


Which of these has the lowest E? NaDy2UO6